[1]
First-principles (GGA-PBEsol) data for Co2AgCl after structural relaxation, as listed in Alexandria.

Excess energy over the best structure of this formula in the dataset ... 0 kJ/mol of formula units
Formation energy without anion corrections ... 0.764 eV per atom

Lattice parameters (Å, degrees): 2.9058 4.4246 4.4390 90.00 90.00 90.00
With the nearest neighbours (Å) after each atom.
Fractional positions:
Co (0.0000, 0.0000, 0.0000)  6 Co 2.65-2.91, 4 Ag 2.65
Co (0.5000, 0.5000, 0.0000)  6 Co 2.65-2.91, 4 Cl 2.65
Ag (0.5000, 0.0000, 0.5000)  4 Cl 2.65, 4 Co 2.65, 2 Ag 2.91
Cl (0.0000, 0.5000, 0.5000)  4 Ag 2.65, 4 Co 2.65, 2 Cl 2.91



[2]
First-principles (GGA-PBEsol) data for ScIn2P after structural relaxation, as listed in Alexandria.

Formation enthalpy at 0 K ... -0.056 eV/atom

Lattice parameters (Å, degrees): 3.6119 3.6119 8.1658 77.22 77.22 60.00
With the nearest neighbours (Å) after each atom.
Fractional positions:
In (0.2376, 0.2376, 0.2871)  3 P 2.68
In (0.7624, 0.7624, 0.7129)  3 P 2.68
P (0.5000, 0.5000, 0.5000)  6 In 2.68
Sc (0.0000, 0.0000, 0.0000)  6 In 3.08



[3]
First-principles (GGA-PBEsol) data for YCuAu2 after structural relaxation, as listed in Alexandria.

Excess energy over the best structure of this formula in the dataset ... 0 kJ/mol of formula units
Formation enthalpy at 0 K ... -0.531 eV/atom

Lattice parameters (Å, degrees): 4.4401 4.4401 5.1142 89.89 115.78 120.08
With the nearest neighbours (Å) after each atom.
Fractional positions:
Au (0.0561, 0.2780, 0.3341)  3 Cu 2.66-2.67, 4 Y 2.95-2.96, 3 Au 2.95-2.96
Au (0.9439, 0.7220, 0.6659)  3 Cu 2.66-2.67, 4 Y 2.95-2.96, 3 Au 2.95-2.96
Cu (0.5000, 0.0000, 0.5000)  6 Au 2.66-2.67
Y (0.5000, 0.5000, 0.0000)  8 Au 2.95-2.96



[4]
First-principles (GGA-PBEsol) data for MgCu2W after structural relaxation, as listed in Alexandria.

Formation enthalpy at 0 K ... 0.312 eV/atom

Lattice parameters (Å, degrees): 2.6568 4.1717 5.1822 90.00 104.81 90.00
With the nearest neighbours (Å) after each atom.
Fractional positions:
Cu (0.8052, 0.0000, 0.9812)  4 Cu 2.53-2.66, 4 W 2.64, 3 Mg 2.64-2.72
Cu (0.9446, 0.5000, 0.2676)  4 Cu 2.53-2.66, 4 Mg 2.64-2.65, 3 W 2.65-2.71
Mg (0.5391, 0.0000, 0.4547)  7 Cu 2.64-2.72, 2 Mg 2.66
W (0.2111, 0.5000, 0.7965)  7 Cu 2.64-2.71, 2 W 2.66



[5]
First-principles (GGA-PBEsol) data for Sr3MgB after structural relaxation, as listed in Alexandria.

Formation enthalpy at 0 K ... 1.293 eV/atom

Lattice parameters (Å, degrees): 6.2189 6.2189 6.2189 90.00 90.00 90.00
With the nearest neighbours (Å) after each atom.
Fractional positions:
Sr (0.0000, 0.5000, 0.0000)  2 Mg 3.11
Sr (0.0000, 0.0000, 0.5000)  2 Mg 3.11
Sr (0.5000, 0.0000, 0.0000)  2 Mg 3.11
Mg (0.0000, 0.0000, 0.0000)  6 Sr 3.11
B (0.5000, 0.5000, 0.5000)  12 Sr 4.40



[6]
First-principles (GGA-PBEsol) data for YInRh2 after structural relaxation, as listed in Alexandria.

Formation enthalpy at 0 K ... -0.641 eV/atom

Lattice parameters (Å, degrees): 3.3315 3.3331 6.3581 90.00 90.00 90.00
With the nearest neighbours (Å) after each atom.
Fractional positions:
Y (0.5000, 0.5000, 0.0000)  8 Rh 2.90, 2 In 3.18
Rh (0.0000, 0.0000, 0.7346)  4 In 2.79, 4 Y 2.90, 1 Rh 2.98
Rh (0.0000, 0.0000, 0.2654)  4 In 2.79, 4 Y 2.90, 1 Rh 2.98
In (0.5000, 0.5000, 0.5000)  8 Rh 2.79



[7]
First-principles (GGA-PBEsol) data for NaBeCoBi2 after structural relaxation, as listed in Alexandria.

Excess energy over the best structure of this formula in the dataset ... 642 kJ/mol of formula units
Formation enthalpy at 0 K ... 1.618 eV/atom

Lattice parameters (Å, degrees): 4.5051 5.2652 5.2652 90.00 90.00 90.00
With the nearest neighbours (Å) after each atom.
Fractional positions:
Na (0.0000, 0.0000, 0.0000)  2 Co 2.25
Co (0.5000, 0.0000, 0.0000)  2 Na 2.25
Bi (0.0000, 0.0000, 0.5000)  2 Na 2.63
Bi (0.0000, 0.5000, 0.0000)  2 Na 2.63
Be (0.5000, 0.5000, 0.5000)  8 Bi 3.46, 4 Co 3.72



[8]
First-principles (GGA-PBEsol) data for SrMgSc2Bi after structural relaxation, as listed in Alexandria.

Formation enthalpy at 0 K ... 1.172 eV/atom

Lattice parameters (Å, degrees): 5.2869 5.2869 5.4586 90.00 90.00 90.00
With the nearest neighbours (Å) after each atom.
Fractional positions:
Sc (0.0000, 0.5000, 0.0000)  2 Sr 2.64
Sc (0.5000, 0.0000, 0.0000)  2 Sr 2.64
Sr (0.0000, 0.0000, 0.0000)  4 Sc 2.64, 2 Mg 2.73
Mg (0.0000, 0.0000, 0.5000)  2 Sr 2.73
Bi (0.5000, 0.5000, 0.5000)  4 Mg 3.74, 8 Sc 3.80



Number 1: total energy -17.7 eV per cell, M_tot 3.86 μB per formula unit, mass density 7.6 g cm⁻³. Number 2: total energy -18.6 eV per cell, M_tot 0.02 μB per formula unit, mass density 5.7 g cm⁻³. Number 3: total energy -21.1 eV per cell, M_tot 0.00 μB per formula unit, mass density 12.0 g cm⁻³. Number 4: total energy -22.9 eV per cell, M_tot 0.00 μB per formula unit, mass density 10.0 g cm⁻³. Number 5: total energy -7.8 eV per cell, M_tot 1.94 μB per formula unit, mass density 2.1 g cm⁻³. Number 6: total energy -28.6 eV per cell, M_tot 0.00 μB per formula unit, mass density 9.6 g cm⁻³. Number 7: total energy -13.6 eV per cell, M_tot 1.39 μB per formula unit, mass density 6.8 g cm⁻³. Number 8: total energy -15.2 eV per cell, M_tot 0.00 μB per formula unit, mass density 4.5 g cm⁻³.